1.
Material: Sc2TiIrO
Method: DFT, PBE-GGA
State: optimized geometry Values from VASP.

```
&SYSTEM
  ibrav = 0, nat = 5, ntyp = 4
/
ATOMIC_SPECIES
Ti 47.87 Ti.upf
O 16.00 O.upf
Sc 44.96 Sc.upf
Ir 192.22 Ir.upf
CELL_PARAMETERS angstrom
-0.194 -2.268 -3.711
3.981 1.404 -1.066
1.618 -3.178 1.857
ATOMIC_POSITIONS crystal
Ti 0.000 0.000 0.500
O 0.000 0.000 0.000
Sc 0.500 0.000 0.000
Sc 0.000 0.500 0.000
Ir 0.500 0.500 0.500
```

Calculated values
The total DFT energy (no corrections) is -41.79 eV per cell. The value obtained for the energy relative to the elements, uncorrected is -1482 meV/atom.

---

2.
Material: ScTiIrO6
Method: DFT, PBE-GGA
State: optimized geometry Values from VASP.

```
&SYSTEM
  ibrav = 0, nat = 18, ntyp = 4
/
ATOMIC_SPECIES
Ir 192.22 Ir.upf
O 16.00 O.upf
Ti 47.87 Ti.upf
Sc 44.96 Sc.upf
CELL_PARAMETERS angstrom
5.069 0.000 0.000
-2.535 4.390 0.000
0.000 0.000 9.309
ATOMIC_POSITIONS crystal
Ir 0.667 0.333 0.250
Ir 0.333 0.667 0.750
O 0.001 0.657 0.366
O 0.343 0.344 0.366
O 0.344 0.001 0.634
O 0.001 0.344 0.134
O 0.999 0.656 0.866
O 0.656 0.657 0.134
O 0.657 0.001 0.866
O 0.657 0.656 0.634
O 0.999 0.343 0.634
O 0.343 0.999 0.134
O 0.656 0.999 0.366
O 0.344 0.343 0.866
Ti 0.333 0.667 0.250
Ti 0.667 0.333 0.750
Sc 0.000 0.000 0.500
Sc 0.000 0.000 0.000
```

Calculated values
The total DFT energy (no corrections) is -145.02 eV per cell. The value obtained for the energy relative to the elements, uncorrected is -2186 meV/atom.

---

3.
Material: ScTl2Ir3O12
Method: DFT, PBE-GGA
State: optimized geometry Values from VASP.

```
&SYSTEM
  ibrav = 0, nat = 18, ntyp = 4
/
ATOMIC_SPECIES
Sc 44.96 Sc.upf
O 16.00 O.upf
Ir 192.22 Ir.upf
Tl 204.38 Tl.upf
CELL_PARAMETERS angstrom
-5.210 5.308 0.089
-3.633 1.804 6.235
1.111 6.509 3.425
ATOMIC_POSITIONS crystal
Sc 0.000 0.000 0.000
O 0.935 0.935 0.333
O 0.935 0.333 0.935
O 0.333 0.935 0.935
O 0.681 0.681 0.084
O 0.319 0.319 0.916
O 0.319 0.916 0.319
O 0.065 0.065 0.667
O 0.667 0.065 0.065
O 0.065 0.667 0.065
O 0.681 0.084 0.681
O 0.916 0.319 0.319
O 0.084 0.681 0.681
Ir 0.500 0.000 0.000
Ir 0.000 0.500 0.000
Ir 0.000 0.000 0.500
Tl 0.601 0.601 0.601
Tl 0.399 0.399 0.399
```

Calculated values
The total DFT energy (no corrections) is -114.64 eV per cell. The value obtained for the energy relative to the elements, uncorrected is -972 meV/atom.

---

4.
Material: TmSc2IrO8
Method: DFT, PBE-GGA
State: optimized geometry Values from VASP.

```
&SYSTEM
  ibrav = 0, nat = 12, ntyp = 4
/
ATOMIC_SPECIES
Ir 192.22 Ir.upf
O 16.00 O.upf
Sc 44.96 Sc.upf
Tm 168.93 Tm.upf
CELL_PARAMETERS angstrom
-2.807 -3.312 -2.173
3.950 -2.584 -1.116
-0.527 -3.219 5.588
ATOMIC_POSITIONS crystal
Ir 0.000 0.000 0.000
O 0.193 0.806 0.217
O 0.193 0.806 0.783
O 0.280 0.278 0.000
O 0.720 0.722 0.000
O 0.686 0.687 0.500
O 0.807 0.194 0.217
O 0.807 0.194 0.783
O 0.314 0.313 0.500
Sc 0.500 0.500 0.742
Sc 0.500 0.500 0.258
Tm 0.000 0.000 0.500
```

Calculated values
The total DFT energy (no corrections) is -94.03 eV per cell. The value obtained for the energy relative to the elements, uncorrected is -2364 meV/atom.

---

5.
Material: TmSc2IrO
Method: DFT, PBE-GGA
State: optimized geometry Values from VASP.

```
&SYSTEM
  ibrav = 0, nat = 5, ntyp = 4
/
ATOMIC_SPECIES
O 16.00 O.upf
Tm 168.93 Tm.upf
Sc 44.96 Sc.upf
Ir 192.22 Ir.upf
CELL_PARAMETERS angstrom
4.258 0.000 0.000
0.000 4.258 0.000
0.000 0.000 4.816
ATOMIC_POSITIONS crystal
O 0.000 0.000 0.009
Tm 0.000 0.000 0.488
Sc 0.000 0.500 0.973
Sc 0.500 0.000 0.973
Ir 0.500 0.500 0.557
```

Calculated values
The total DFT energy (no corrections) is -38.71 eV per cell. The value obtained for the energy relative to the elements, uncorrected is -1551 meV/atom.

---

Respective magnetic moment values: 0.000 2.025 3.528 1.001 0.000 μB/f.u..
Respective DOS(E_F) values: 1.185 0.394 0.713 0.474 0.840 states/eV per atom.